(1)
Material: Pm5PrSc
Method: DFT, PBE
State: optimized geometry

## Properties
The space-group type is C2/c, No. 15.

abc: 8.0501 6.1745 12.6363
angles: 95.05 90.00 130.69
Element x y z (fractional)
1 Pm 0.1533 0.5739 0.1254
2 Pm 0.7973 0.3313 0.5889
3 Pm 0.4206 0.5739 0.6254
4 Pm 0.0753 0.0000 0.2500
5 Pm 0.4660 0.6687 0.9111
6 Pm 0.5340 0.3313 0.0889
7 Pm 0.9247 0.0000 0.7500
8 Pm 0.5794 0.4261 0.3746
9 Pm 0.2027 0.6687 0.4111
10 Pm 0.8467 0.4261 0.8746
11 Pr 0.6836 0.0000 0.2500
12 Pr 0.3164 0.0000 0.7500
13 Sc 0.0000 0.0000 0.0000
14 Sc 0.0000 0.0000 0.5000

***

(2)
Material: Pm5Pr2Sc2
Method: DFT, PBE
State: optimized geometry

## Properties
The space-group type is P-1, No. 2. The energy above the lowest structure with this stoichiometry comes out at 0.0 kJ per mole of atoms.

abc: 6.2421 11.9937 11.4422
angles: 149.12 62.98 133.98
Element x y z (fractional)
1 Pm 0.5504 0.9893 0.3270
2 Pm 0.4496 0.0107 0.6730
3 Pm 0.2235 0.3346 0.6722
4 Pm 0.7765 0.6654 0.3278
5 Pm 0.0000 0.0000 0.0000
6 Pr 0.3389 0.6768 0.6765
7 Pr 0.6611 0.3232 0.3235
8 Sc 0.1213 0.3373 0.0003
9 Sc 0.8787 0.6627 0.9997

***

(3)
Material: Pm5Pr4Sc2
Method: DFT, PBE
State: optimized geometry

## Properties
The space-group type is C2/m, No. 12. The energy above the lowest structure with this stoichiometry comes out at 0.0 kJ per mole of atoms.

abc: 3.5488 8.7320 12.1424
angles: 94.42 98.40 90.00
Element x y z (fractional)
1 Pm 0.8186 0.5230 0.6373
2 Pm 0.1814 0.4770 0.3627
3 Pm 0.8708 0.9619 0.7416
4 Pm 0.5000 0.0000 0.0000
5 Pm 0.1292 0.0381 0.2584
6 Pr 0.2742 0.1768 0.5484
7 Pr 0.9613 0.6512 0.9227
8 Pr 0.7258 0.8232 0.4516
9 Pr 0.0387 0.3488 0.0773
10 Sc 0.4127 0.3022 0.8254
11 Sc 0.5873 0.6978 0.1746

***

no.,formation enthalpy at 0 K (eV per atom)
1,0.156
2,0.030
3,0.112